(1)
## MgRuW2 (GGA-PBE)

Data for crystalline MgRuW2 at its relaxed geometry.

abc: 9.508 9.508 9.508
angles: 17.08 17.08 17.08
Sites, in units of the cell vectors:
W 0.005 0.005 0.005
W 0.252 0.252 0.252
Mg 0.496 0.496 0.496
Ru 0.747 0.747 0.747

Results
N(E_F) (states/eV/cell): 3.658
ρ (g cm⁻³): 12.7
ΔE_f (eV per atom): 0.27
V (A^3/atom): 16.175
Electronic total energy (eV/atom): -8.9201

(2)
## MgRu3W2 (GGA-PBE)

Data for crystalline MgRu3W2 at its relaxed geometry.

abc: 3.005 3.005 10.118
angles: 90.00 90.00 90.00
Sites, in units of the cell vectors:
W 0.500 0.500 0.176
Ru 0.000 0.000 0.674
W 0.500 0.500 0.824
Ru 0.000 0.000 0.326
Ru 0.000 0.000 0.000
Mg 0.500 0.500 0.500

Results
N(E_F) (states/eV/cell): 4.136
ρ (g cm⁻³): 12.6
ΔE_f (eV per atom): -0.01
V (A^3/atom): 15.228
Electronic total energy (eV/atom): -9.2340

(3)
## Mg2RuW (GGA-PBE)

Data for crystalline Mg2RuW at its relaxed geometry.

abc: 4.525 4.525 4.525
angles: 60.00 60.00 60.00
Site moments in Bohr magnetons follow the coordinates.
Sites, in units of the cell vectors:
Mg 0.750 0.750 0.750  0.00
Ru 0.000 0.000 0.000  0.05
W 0.500 0.500 0.500  1.28
Mg 0.250 0.250 0.250  0.00

Results
N(E_F) (states/eV/cell): 5.609
ρ (g cm⁻³): 8.5
ΔE_f (eV per atom): 0.72
Energy above the lowest structure with this stoichiometry (meV per atom): 694.5
V (A^3/atom): 16.379
Electronic total energy (eV/atom): -5.6298

Q: Which of these has the lowest ΔE_f?
A: MgRu3W2